The following is a PBE calculation of a relaxed structure of NaTi4Cl7, from Alexandria via LeMat-Bulk.

Cell: 5.975 5.964 15.831 Å, 90.00 90.00 90.00°
Each line ends with the local moment (μB).
Fractional coordinates of all 24 atoms:
Cl: 0.929 0.651 0.379  0.00
Cl: 0.508 0.207 0.388  0.01
Cl: 0.896 0.286 0.781  0.00
Cl: 0.396 0.714 0.281  0.00
Cl: 0.530 0.833 0.000  -0.01
Cl: 0.429 0.349 0.879  0.00
Cl: 0.008 0.793 0.888  0.01
Cl: 0.896 0.286 0.219  0.00
Cl: 0.008 0.793 0.112  0.01
Cl: 0.508 0.207 0.612  0.01
Cl: 0.396 0.714 0.719  0.00
Cl: 0.429 0.349 0.121  0.00
Cl: 0.030 0.167 0.500  -0.01
Cl: 0.929 0.651 0.621  0.00
Ti: 0.022 0.905 0.738  0.98
Ti: 0.522 0.095 0.238  0.98
Ti: 0.022 0.905 0.262  0.98
Ti: 0.622 0.732 0.849  1.32
Ti: 0.622 0.732 0.151  1.32
Ti: 0.122 0.268 0.349  1.32
Ti: 0.522 0.095 0.762  0.98
Ti: 0.122 0.268 0.651  1.32
Na: 0.172 0.130 0.000  0.00
Na: 0.672 0.870 0.500  0.00

Calculated values
As for the magnetization: 0.498 μB per atom. As for the uncorrected formation energy: -13.1 eV per formula unit. The total energy comes out at -4.913 eV/atom. As for the space group: No. 31.

The following is a PBE calculation of a relaxed structure of Na3TiCl7, from Alexandria via LeMat-Bulk.

Cell: 7.158 7.158 6.758 Å, 77.53 77.53 79.50°
Each line ends with the local moment (μB).
Fractional coordinates of all 11 atoms:
Ti: 0.002 0.002 0.001  0.00
Na: 0.212 0.770 0.494  0.00
Na: 0.606 0.606 0.845  0.00
Na: 0.770 0.212 0.494  0.00
Cl: 0.130 0.130 0.222  0.00
Cl: 0.312 0.950 0.787  0.00
Cl: 0.055 0.688 0.181  0.00
Cl: 0.688 0.055 0.181  0.00
Cl: 0.950 0.312 0.787  0.00
Cl: 0.531 0.531 0.503  0.05
Cl: 0.869 0.869 0.755  0.00

Calculated values
As for the magnetization: 0.008 μB per atom. As for the uncorrected formation energy: -18.0 eV per formula unit. The total energy comes out at -3.892 eV/atom. As for the space group: No. 8.

The following is a PBE calculation of a relaxed structure of Na2TiCl4, from Alexandria via LeMat-Bulk.

Cell: 6.909 6.909 6.556 Å, 121.80 121.80 90.00°
Each line ends with the local moment (μB).
Fractional coordinates of all 7 atoms:
Cl: 0.164 0.164 0.783  0.00
Cl: 0.381 0.836 0.217  0.00
Cl: 0.836 0.381 0.217  0.00
Cl: 0.619 0.619 0.783  0.00
Na: 0.250 0.750 0.500  0.00
Na: 0.750 0.250 0.500  0.00
Ti: 0.500 0.500 0.000  1.64

Calculated values
As for the magnetization: 0.286 μB per atom. As for the uncorrected formation energy: -10.4 eV per formula unit. The total energy comes out at -4.050 eV/atom. As for the space group: No. 121. Its energy relative to the lowest polymorph listed for this composition is 0.71 eV per formula unit.

The following is a PBE calculation of a relaxed structure of NaTiCl5, from Alexandria via LeMat-Bulk.

Cell: 6.830 6.830 9.488 Å, 70.22 70.22 70.34°
Fractional coordinates of all 14 atoms:
Cl: 0.096 0.904 0.750
Cl: 0.862 0.705 0.126
Cl: 0.705 0.862 0.626
Cl: 0.295 0.138 0.374
Cl: 0.212 0.662 0.473
Cl: 0.788 0.338 0.527
Cl: 0.138 0.295 0.874
Cl: 0.338 0.788 0.027
Cl: 0.662 0.212 0.973
Cl: 0.904 0.096 0.250
Na: 0.462 0.538 0.750
Na: 0.538 0.462 0.250
Ti: 0.000 0.000 0.000
Ti: 0.000 0.000 0.500

Calculated values
As for the magnetization: 0.000 μB per atom. As for the uncorrected formation energy: -10.9 eV per formula unit. The total energy comes out at -4.185 eV/atom. As for the space group: No. 15.

The following is a PBE calculation of a relaxed structure of NaTiCl3, from Alexandria via LeMat-Bulk.

Cell: 3.384 7.395 8.809 Å, 98.17 90.00 103.23°
Fractional coordinates of all 10 atoms:
Cl: 0.625 0.250 0.002
Cl: 0.063 0.126 0.672
Cl: 0.375 0.750 0.998
Cl: 0.937 0.874 0.328
Cl: 0.768 0.536 0.688
Cl: 0.232 0.464 0.312
Na: 0.596 0.192 0.424
Na: 0.404 0.808 0.576
Ti: 0.213 0.425 0.872
Ti: 0.787 0.575 0.128

Calculated values
As for the magnetization: 0.000 μB per atom. As for the uncorrected formation energy: -7.8 eV per formula unit. The total energy comes out at -4.501 eV/atom. As for the space group: No. 12. Its energy relative to the lowest polymorph listed for this composition is 0.00 eV per formula unit.

The following is a PBE calculation of a relaxed structure of NaTi2Cl8, from Alexandria via LeMat-Bulk.

Cell: 8.213 7.627 7.627 Å, 120.01 90.00 90.00°
Each line ends with the local moment (μB).
Fractional coordinates of all 11 atoms:
Ti: 0.299 0.333 0.667  -0.47
Ti: 0.701 0.667 0.333  -0.47
Na: 0.000 0.000 0.000  0.00
Cl: 0.433 0.667 0.333  0.01
Cl: 0.567 0.333 0.667  0.01
Cl: 0.790 0.826 0.173  0.01
Cl: 0.790 0.827 0.653  0.01
Cl: 0.790 0.347 0.174  0.01
Cl: 0.210 0.653 0.826  0.01
Cl: 0.210 0.173 0.347  0.01
Cl: 0.210 0.174 0.827  0.01

Calculated values
As for the magnetization: 0.091 μB per atom. As for the uncorrected formation energy: -17.2 eV per formula unit. The total energy comes out at -4.466 eV/atom. As for the space group: No. 164. Its energy relative to the lowest polymorph listed for this composition is 0.12 eV per formula unit.

The following is a PBE calculation of a relaxed structure of Na3TiCl, from Alexandria via LeMat-Bulk.

Cell: 6.109 6.109 6.109 Å, 90.00 90.00 90.00°
Each line ends with the local moment (μB).
Fractional coordinates of all 5 atoms:
Na: 0.000 0.000 0.500  0.03
Na: 0.500 0.000 0.000  0.08
Na: 0.000 0.500 0.000  0.04
Cl: 0.500 0.500 0.500  0.04
Ti: 0.000 0.000 0.000  2.25

Calculated values
As for the magnetization: 0.797 μB per atom. As for the uncorrected formation energy: 3.1 eV per formula unit. The total energy comes out at -2.112 eV/atom. As for the space group: No. 221. Its energy relative to the lowest polymorph listed for this composition is 2.70 eV per formula unit.

The following is a PBE calculation of a relaxed structure of Na2Ti2Cl7, from Alexandria via LeMat-Bulk.

Cell: 6.774 7.210 7.210 Å, 117.95 94.62 94.62°
Each line ends with the local moment (μB).
Fractional coordinates of all 11 atoms:
Cl: 0.000 0.000 0.000  0.00
Cl: 0.746 0.588 0.588  0.00
Cl: 0.247 0.919 0.577  0.00
Cl: 0.254 0.412 0.412  0.00
Cl: 0.753 0.081 0.423  0.00
Cl: 0.753 0.423 0.081  0.00
Cl: 0.247 0.577 0.919  0.00
Na: 0.500 0.294 0.706  0.00
Na: 0.500 0.706 0.294  0.00
Ti: 0.092 0.685 0.685  0.40
Ti: 0.908 0.315 0.315  0.40

Calculated values
As for the magnetization: 0.092 μB per atom. As for the uncorrected formation energy: -17.0 eV per formula unit. The total energy comes out at -4.399 eV/atom. As for the space group: No. 12. Its energy relative to the lowest polymorph listed for this composition is 0.00 eV per formula unit.

The following is a PBE calculation of a relaxed structure of Na2Ti3Cl10, from Alexandria via LeMat-Bulk.

Cell: 7.117 9.900 12.004 Å, 111.08 107.24 90.00°
Each line ends with the local moment (μB).
Fractional coordinates of all 30 atoms:
Cl: 0.092 0.531 0.707  0.00
Cl: 0.500 0.000 0.500  -0.02
Cl: 0.644 0.964 0.779  -0.02
Cl: 0.385 0.469 0.293  0.00
Cl: 0.135 0.964 0.779  -0.02
Cl: 0.979 0.801 0.959  -0.03
Cl: 0.908 0.469 0.293  0.00
Cl: 0.765 0.726 0.530  0.00
Cl: 0.000 0.000 0.500  -0.02
Cl: 0.021 0.199 0.041  -0.03
Cl: 0.874 0.251 0.748  -0.03
Cl: 0.356 0.036 0.221  -0.02
Cl: 0.126 0.749 0.252  -0.03
Cl: 0.248 0.500 0.000  -0.01
Cl: 0.481 0.825 0.962  -0.02
Cl: 0.519 0.175 0.038  -0.02
Cl: 0.615 0.531 0.707  0.00
Cl: 0.865 0.036 0.221  -0.02
Cl: 0.752 0.500 0.000  -0.01
Cl: 0.235 0.274 0.470  0.00
Ti: 0.820 0.984 0.640  1.08
Ti: 0.240 0.000 0.000  1.19
Ti: 0.180 0.016 0.360  1.08
Ti: 0.928 0.514 0.855  1.21
Ti: 0.760 0.000 0.000  1.19
Ti: 0.072 0.486 0.145  1.21
Na: 0.637 0.668 0.274  0.00
Na: 0.255 0.574 0.510  0.00
Na: 0.363 0.332 0.726  0.00
Na: 0.745 0.426 0.490  0.00

Calculated values
As for the magnetization: 0.267 μB per atom. As for the uncorrected formation energy: -23.2 eV per formula unit. The total energy comes out at -4.531 eV/atom. As for the space group: No. 12.

The following is a PBE calculation of a relaxed structure of Na2Ti2Cl7, from Alexandria via LeMat-Bulk.

Cell: 6.481 6.722 6.722 Å, 72.68 89.43 89.43°
Each line ends with the local moment (μB).
Fractional coordinates of all 11 atoms:
Cl: 0.230 0.923 0.486  -0.01
Cl: 0.770 0.514 0.077  -0.01
Cl: 0.774 0.581 0.581  -0.01
Cl: 0.230 0.486 0.923  -0.01
Cl: 0.000 0.000 0.000  -0.02
Cl: 0.226 0.419 0.419  -0.01
Cl: 0.770 0.077 0.514  -0.01
Na: 0.500 0.273 0.727  0.00
Na: 0.500 0.727 0.273  0.00
Ti: 0.970 0.764 0.764  1.31
Ti: 0.030 0.236 0.236  1.31

Calculated values
As for the magnetization: 0.273 μB per atom. As for the uncorrected formation energy: -16.3 eV per formula unit. The total energy comes out at -4.328 eV/atom. As for the space group: No. 12. Its energy relative to the lowest polymorph listed for this composition is 0.78 eV per formula unit.

The following is a PBE calculation of a relaxed structure of Na2TiCl4, from Alexandria via LeMat-Bulk.

Cell: 4.940 4.940 8.012 Å, 72.04 72.04 90.00°
Each line ends with the local moment (μB).
Fractional coordinates of all 7 atoms:
Na: 0.640 0.640 0.720  0.00
Na: 0.360 0.360 0.280  0.00
Cl: 0.000 0.500 0.000  -0.01
Cl: 0.175 0.175 0.651  0.01
Cl: 0.500 0.000 0.000  -0.01
Cl: 0.825 0.825 0.349  0.01
Ti: 0.000 0.000 0.000  1.62

Calculated values
As for the magnetization: 0.286 μB per atom. As for the uncorrected formation energy: -10.5 eV per formula unit. The total energy comes out at -4.062 eV/atom. As for the space group: No. 139. Its energy relative to the lowest polymorph listed for this composition is 0.62 eV per formula unit.

The following is a PBE calculation of a relaxed structure of Na2TiCl5, from Alexandria via LeMat-Bulk.

Cell: 5.042 6.975 7.246 Å, 82.78 69.64 68.81°
Each line ends with the local moment (μB).
Fractional coordinates of all 8 atoms:
Na: 0.809 0.500 0.882  0.00
Na: 0.191 0.500 0.118  0.00
Cl: 0.757 0.252 0.235  0.00
Cl: 0.000 0.500 0.500  -0.02
Cl: 0.492 0.252 0.765  0.00
Cl: 0.508 0.748 0.235  0.00
Cl: 0.243 0.748 0.765  0.00
Ti: 0.500 0.500 0.500  0.88

Calculated values
As for the magnetization: 0.125 μB per atom. As for the uncorrected formation energy: -12.4 eV per formula unit. The total energy comes out at -4.017 eV/atom. As for the space group: No. 69. Its energy relative to the lowest polymorph listed for this composition is 0.84 eV per formula unit.